Material: PmTmSb
Method: DFT, GGA-PBE
State: optimized geometry

Properties
distance to the lowest polymorph of the same formula: 273 meV per atom
size of the total moment: 0.0 μB/f.u.
ΔE_f (raw): -0.54 eV per atom

Cell and atoms, written as CIF:
```
data_PmTmSb
_chemical_formula_sum 'Pm4 Tm4 Sb4'
_cell_length_a 8.906
_cell_length_b 5.133
_cell_length_c 8.631
_cell_angle_alpha 90.00
_cell_angle_beta 110.08
_cell_angle_gamma 90.00
_space_group_name_H-M_alt 'C 1 2/m 1'
_space_group_IT_number 12
_space_group_name_Hall '-C 2y'
loop_
_atom_site_label
_atom_site_type_symbol
_atom_site_fract_x
_atom_site_fract_y
_atom_site_fract_z
Pm1 Pm 0.213 0.000 0.139
Tm1 Tm 0.133 0.500 0.398
Sb1 Sb 0.079 0.000 0.735
```